[1]
12
Lattice="-5.4231 -2.2805 5.9807 -0.8574 -2.9963 7.7889 -2.8225 1.5604 7.7445" Properties=species:S:1:pos:R:3 comment="TmLu2Fe2Co7, optimized geometry, DFT GGA-PBE" total_magnetization_mub_per_atom=1.06 formation_enthalpy_0k_mev_per_atom=-233.9 energy_ev_per_cell=-82.69 pbc="T T T"
Co -4.5515 -1.8582 10.7570
Co -4.2120 -3.0609 12.8755
Co -4.8910 -0.6555 8.6385
Co -5.2080 -0.7512 12.8531
Co -3.8949 -2.9652 8.6610
Co -2.5767 -1.0183 9.5551
Co -6.5263 -2.6981 11.9590
Lu -7.8230 -3.1938 18.4890
Lu -1.2800 -0.5226 3.0251
Tm 0.0000 0.0000 0.0000
Fe -3.0469 -1.2439 7.2012
Fe -6.0560 -2.4724 14.3129

***

[2]
12
Lattice="2.9748 4.2021 6.5823 3.9521 -0.6251 7.3365 6.8572 2.0614 4.3086" Properties=species:S:1:pos:R:3 comment="TmLu2Fe3Co6, optimized geometry, DFT GGA-PBE" total_magnetization_mub_per_atom=1.12 formation_enthalpy_0k_mev_per_atom=-234.1 energy_ev_per_cell=-83.90 pbc="T T T"
Co 7.2297 4.4707 10.9029
Co 6.5545 1.1677 7.3245
Co 4.5862 2.2529 8.4772
Co 9.1979 3.3855 9.7501
Co 7.7251 2.0235 11.2852
Co 6.0590 3.6149 6.9422
Lu 11.8511 4.8477 15.6712
Lu 1.9330 0.7907 2.5562
Tm 0.0000 0.0000 0.0000
Fe 4.6092 1.8854 6.0950
Fe 6.8921 2.8192 9.1137
Fe 9.1749 3.7530 12.1324

***

[3]
12
Lattice="3.7636 -6.3614 4.1960 5.0486 -6.8116 -0.5948 7.3871 -3.5112 2.3112" Properties=species:S:1:pos:R:3 comment="TmLu2Fe8Co, optimized geometry, DFT GGA-PBE" total_magnetization_mub_per_atom=1.37 formation_enthalpy_0k_mev_per_atom=-152.5 energy_ev_per_cell=-88.93 pbc="T T T"
Lu 13.8955 -14.3114 5.0716
Lu 2.3038 -2.3727 0.8408
Fe 9.2882 -10.3755 2.1663
Fe 7.5561 -6.5347 1.3409
Fe 6.9110 -6.3087 3.7461
Fe 5.3935 -5.5550 1.9685
Fe 10.8057 -11.1292 3.9439
Fe 5.7370 -7.9656 2.2871
Fe 10.4623 -8.7185 3.6253
Fe 8.6431 -10.1495 4.5715
Co 8.0996 -8.3421 2.9562
Tm 0.0000 0.0000 0.0000

***

[4]
12
Lattice="-8.1308 1.7558 -0.5692 -7.5527 -1.5852 3.1561 -6.5573 3.2862 3.9648" Properties=species:S:1:pos:R:3 comment="YLu2Fe3Co6, optimized geometry, DFT GGA-PBE" total_magnetization_mub_per_atom=1.12 formation_enthalpy_0k_mev_per_atom=-225.3 energy_ev_per_cell=-85.78 pbc="T T T"
Y 0.0000 0.0000 0.0000
Co -13.3409 2.3218 2.4342
Co -13.0492 0.6360 4.3140
Co -9.1916 2.8208 2.2378
Co -12.5470 3.0940 4.7220
Co -9.6938 0.3628 1.8297
Co -8.8999 1.1350 4.1175
Lu -3.1414 0.4883 0.9254
Lu -19.0994 2.9686 5.6263
Fe -11.1204 1.7284 3.2759
Fe -14.8170 2.3030 4.3648
Fe -7.4239 1.1539 2.1869

***

[5]
12
Lattice="2.5185 1.4541 8.1097 -2.5185 1.4541 8.1097 0.0000 -2.9081 8.1097" Properties=species:S:1:pos:R:3 comment="Y2LuFe6Co3, optimized geometry, DFT GGA-PBE" total_magnetization_mub_per_atom=1.35 formation_enthalpy_0k_mev_per_atom=-118.9 energy_ev_per_cell=-90.05 pbc="T T T"
Fe 1.2585 0.7266 14.2485
Fe 0.0000 -1.4533 14.2485
Fe -1.2585 -0.7266 10.0805
Fe 0.0000 1.4533 10.0805
Fe -1.2585 0.7266 14.2485
Fe 1.2585 -0.7266 10.0805
Co 0.0000 0.0000 16.2452
Co 0.0000 0.0000 8.0838
Co 0.0000 0.0000 12.1645
Y 0.0000 0.0000 3.4487
Y 0.0000 0.0000 20.8803
Lu 0.0000 0.0000 0.0000

***

[6]
12
Lattice="-1.5571 -8.1208 2.0694 0.7991 -8.1566 -2.3423 3.4118 -7.5807 1.8836" Properties=species:S:1:pos:R:3 comment="Y2LuFeCo8, optimized geometry, DFT GGA-PBE" total_magnetization_mub_per_atom=0.98 formation_enthalpy_0k_mev_per_atom=-172.0 energy_ev_per_cell=-84.68 pbc="T T T"
Co 1.1427 -9.7843 2.1145
Co 1.7679 -15.8938 1.0731
Co 1.5111 -14.0738 -0.5038
Co 2.8241 -13.7843 1.6201
Co 0.8859 -7.9642 0.5377
Co 2.3268 -9.8023 -0.1027
Co 0.3269 -14.0558 1.7135
Co -0.1704 -10.0737 -0.0093
Lu 0.0000 0.0000 0.0000
Y 2.2852 -20.5452 1.3871
Y 0.3685 -3.3128 0.2237
Fe 1.3269 -11.9290 0.8054

***

[7]
12
Lattice="2.5135 1.4512 7.9224 -2.5135 1.4512 7.9224 0.0000 -2.9023 7.9224" Properties=species:S:1:pos:R:3 comment="Y2LuFe2Co7, optimized geometry, DFT GGA-PBE" total_magnetization_mub_per_atom=1.04 formation_enthalpy_0k_mev_per_atom=-179.1 energy_ev_per_cell=-85.97 pbc="T T T"
Co 0.0000 1.4571 9.8505
Co 1.2618 0.7285 13.9166
Co -1.2618 0.7285 13.9166
Co 1.2618 -0.7285 9.8505
Co 0.0000 0.0000 11.8835
Co 0.0000 -1.4571 13.9166
Co -1.2618 -0.7285 9.8505
Y 0.0000 0.0000 20.4350
Y 0.0000 0.0000 3.3321
Fe 0.0000 0.0000 7.9300
Fe 0.0000 0.0000 15.8370
Lu 0.0000 0.0000 0.0000

***

[8]
12
Lattice="3.8406 5.0157 5.8007 4.0603 7.4209 1.4139 -0.1542 7.5223 4.1166" Properties=species:S:1:pos:R:3 comment="YLu2Fe7Co2, optimized geometry, DFT GGA-PBE" total_magnetization_mub_per_atom=1.34 formation_enthalpy_0k_mev_per_atom=-143.8 energy_ev_per_cell=-89.61 pbc="T T T"
Co 5.1705 13.3214 7.5629
Co 2.5763 6.6376 3.7683
Lu 6.6432 17.1158 9.7171
Lu 1.1035 2.8432 1.6141
Y 0.0000 0.0000 0.0000
Fe 3.8734 9.9795 5.6656
Fe 5.1536 10.8339 7.6298
Fe 5.2636 12.0386 5.4326
Fe 2.5932 9.1251 3.7014
Fe 4.5941 7.8696 4.5449
Fe 2.4831 7.9204 5.8987
Fe 3.1526 12.0894 6.7863

***

[9]
12
Lattice="2.4857 1.4351 7.9088 -2.4857 1.4351 7.9088 0.0000 -2.8702 7.9088" Properties=species:S:1:pos:R:3 comment="YLu2FeCo8, optimized geometry, DFT GGA-PBE" total_magnetization_mub_per_atom=0.98 formation_enthalpy_0k_mev_per_atom=-220.2 energy_ev_per_cell=-83.32 pbc="T T T"
Co 0.0000 0.0000 15.7928
Co 0.0000 -1.4521 13.8490
Co -1.2576 -0.7260 9.8775
Co 0.0000 0.0000 7.9337
Co 1.2576 0.7261 13.8490
Co 1.2576 -0.7260 9.8775
Co 0.0000 1.4521 9.8775
Co -1.2576 0.7261 13.8490
Lu 0.0000 0.0000 20.3981
Lu 0.0000 0.0000 3.3283
Y 0.0000 0.0000 0.0000
Fe 0.0000 0.0000 11.8632

***

[10]
12
Lattice="-3.5378 -5.0423 5.6891 -2.8116 -0.5452 7.8807 -6.7592 -1.2487 4.8023" Properties=species:S:1:pos:R:3 comment="Y2LuFe3Co6, optimized geometry, DFT GGA-PBE" total_magnetization_mub_per_atom=1.10 formation_enthalpy_0k_mev_per_atom=-179.2 energy_ev_per_cell=-87.17 pbc="T T T"
Fe -8.7423 -4.5592 12.2526
Fe -4.3663 -2.2771 6.1195
Fe -6.5543 -3.4181 9.1860
Co -6.2125 -3.7007 6.7357
Co -5.8491 -1.4507 7.8321
Co -4.2375 -3.3487 8.2758
Co -6.8961 -3.1356 11.6364
Co -8.8711 -3.4876 10.0963
Co -7.2595 -5.3855 10.5400
Y -11.2699 -5.8773 15.7951
Y -1.8387 -0.9589 2.5770
Lu 0.0000 0.0000 0.0000

***

[11]
12
Lattice="2.5144 1.4517 8.1172 -2.5144 1.4517 8.1172 0.0000 -2.9033 8.1172" Properties=species:S:1:pos:R:3 comment="Y2LuFe7Co2, optimized geometry, DFT GGA-PBE" total_magnetization_mub_per_atom=1.37 formation_enthalpy_0k_mev_per_atom=-97.5 energy_ev_per_cell=-91.00 pbc="T T T"
Fe 0.0000 -1.4461 14.2663
Fe 0.0000 1.4461 10.0853
Fe 1.2523 -0.7230 10.0853
Fe -1.2523 0.7230 14.2663
Fe 1.2523 0.7230 14.2663
Fe 0.0000 0.0000 12.1758
Fe -1.2523 -0.7230 10.0853
Co 0.0000 0.0000 8.0926
Co 0.0000 0.0000 16.2590
Y 0.0000 0.0000 20.9012
Y 0.0000 0.0000 3.4504
Lu 0.0000 0.0000 0.0000

***

[12]
12
Lattice="2.5129 1.4508 8.0505 -2.5129 1.4508 8.0505 0.0000 -2.9016 8.0505" Properties=species:S:1:pos:R:3 comment="YLu2Fe6Co3, optimized geometry, DFT GGA-PBE" total_magnetization_mub_per_atom=1.37 formation_enthalpy_0k_mev_per_atom=-165.0 energy_ev_per_cell=-88.66 pbc="T T T"
Lu 0.0000 0.0000 3.4422
Lu 0.0000 0.0000 20.7094
Fe 0.0000 1.4559 10.0522
Fe -1.2609 0.7280 14.0994
Fe 1.2609 -0.7280 10.0522
Fe 1.2609 0.7280 14.0994
Fe 0.0000 -1.4559 14.0994
Fe -1.2609 -0.7280 10.0522
Co 0.0000 0.0000 8.0361
Co 0.0000 0.0000 12.0758
Co 0.0000 0.0000 16.1156
Y 0.0000 0.0000 0.0000

***

Copy entry 1 word for word.
12
Lattice="-5.4231 -2.2805 5.9807 -0.8574 -2.9963 7.7889 -2.8225 1.5604 7.7445" Properties=species:S:1:pos:R:3 comment="TmLu2Fe2Co7, optimized geometry, DFT GGA-PBE" total_magnetization_mub_per_atom=1.06 formation_enthalpy_0k_mev_per_atom=-233.9 energy_ev_per_cell=-82.69 pbc="T T T"
Co -4.5515 -1.8582 10.7570
Co -4.2120 -3.0609 12.8755
Co -4.8910 -0.6555 8.6385
Co -5.2080 -0.7512 12.8531
Co -3.8949 -2.9652 8.6610
Co -2.5767 -1.0183 9.5551
Co -6.5263 -2.6981 11.9590
Lu -7.8230 -3.1938 18.4890
Lu -1.2800 -0.5226 3.0251
Tm 0.0000 0.0000 0.0000
Fe -3.0469 -1.2439 7.2012
Fe -6.0560 -2.4724 14.3129